A relaxed NiPO3 crystal. Source: Alexandria via LeMat-Bulk, functional PBE+U.

Cell and atoms, written as CIF:
```
data_NiPO3
_chemical_formula_sum 'Ni4 P4 O12'
_cell_length_a 9.041
_cell_length_b 6.242
_cell_length_c 6.900
_cell_angle_alpha 90.00
_cell_angle_beta 129.89
_cell_angle_gamma 90.00
_space_group_name_H-M_alt 'C 1 2/m 1'
_space_group_IT_number 12
_space_group_name_Hall '-C 2y'
loop_
_atom_site_label
_atom_site_type_symbol
_atom_site_fract_x
_atom_site_fract_y
_atom_site_fract_z
Ni1 Ni 0.000 0.250 0.000
P1 P 0.132 0.000 0.502
O1 O 0.000 0.184 0.500
O2 O 0.102 0.000 0.260
O3 O 0.163 0.500 0.255
```

Results
* total energy: -121.0 eV for the cell shown